First-principles (PBE-GGA) data for crystalline TcHg2Pt at its relaxed geometry, as listed in the Alexandria database.

The structure in POSCAR format:
```
TcHg2Pt
1.0
6.657 0.000 0.000
0.000 6.657 0.000
0.000 0.000 6.657
Tc Hg Pt
4 8 4
Direct
0.000 0.000 0.000 Tc
0.000 0.500 0.500 Tc
0.500 0.000 0.500 Tc
0.500 0.500 0.000 Tc
0.000 0.000 0.500 Hg
0.000 0.500 0.000 Hg
0.250 0.250 0.250 Hg
0.250 0.750 0.750 Hg
0.500 0.000 0.000 Hg
0.500 0.500 0.500 Hg
0.750 0.250 0.750 Hg
0.750 0.750 0.250 Hg
0.250 0.250 0.750 Pt
0.250 0.750 0.250 Pt
0.750 0.250 0.250 Pt
0.750 0.750 0.750 Pt
```

## Properties
offset from the most stable computed form: 292 meV/atom
energy relative to the elements: 0.50 eV per atom
symmetry: F-43m
size of the total moment: 2.6 μB/f.u.